The following is a GGA-PBE calculation of crystalline Ba4Sr15Li at its relaxed geometry, from Alexandria via LeMat-Bulk.

a b c (Å): 6.0750 6.0750 30.0260
angles (deg): 90.00 90.00 90.00
Closest atoms and distances in Å follow each position.
Element x y z (fractional)
1 Ba 0.0000 0.0000 0.1912  12 Sr 4.30-4.35
2 Ba 0.0000 0.0000 0.3969  12 Sr 4.30-4.34
3 Ba 0.0000 0.0000 0.6031  12 Sr 4.30-4.34
4 Ba 0.0000 0.0000 0.8088  12 Sr 4.30-4.35
5 Sr 0.5000 0.5000 0.0000  8 Sr 4.02, 4 Li 4.30
6 Sr 0.5000 0.5000 0.1888  4 Ba 4.30, 8 Sr 4.30-4.37
7 Sr 0.5000 0.5000 0.3969  4 Ba 4.30, 8 Sr 4.34
8 Sr 0.5000 0.5000 0.6031  4 Ba 4.30, 8 Sr 4.34
9 Sr 0.5000 0.5000 0.8112  4 Ba 4.30, 8 Sr 4.30-4.37
10 Sr 0.5000 0.0000 0.0875  8 Sr 4.02-4.30, 2 Li 4.02, 2 Ba 4.35
11 Sr 0.5000 0.0000 0.2937  8 Sr 4.30-4.37, 4 Ba 4.32-4.34
12 Sr 0.5000 0.0000 0.5000  8 Sr 4.30-4.34, 4 Ba 4.34
13 Sr 0.5000 0.0000 0.7063  8 Sr 4.30-4.37, 4 Ba 4.32-4.34
14 Sr 0.5000 0.0000 0.9125  8 Sr 4.02-4.30, 2 Li 4.02, 2 Ba 4.35
15 Sr 0.0000 0.5000 0.0875  2 Li 4.02, 8 Sr 4.02-4.30, 2 Ba 4.35
16 Sr 0.0000 0.5000 0.2937  8 Sr 4.30-4.37, 4 Ba 4.32-4.34
17 Sr 0.0000 0.5000 0.5000  8 Sr 4.30-4.34, 4 Ba 4.34
18 Sr 0.0000 0.5000 0.7063  8 Sr 4.30-4.37, 4 Ba 4.32-4.34
19 Sr 0.0000 0.5000 0.9125  2 Li 4.02, 8 Sr 4.02-4.30, 2 Ba 4.35
20 Li 0.0000 0.0000 0.0000  12 Sr 4.02-4.30

Summary:
energy relative to the elements	0.020	eV/atom
SG	P4/mmm, No. 123
electronic total energy	-1.72	eV per atom